Version i
Below is an optimized crystal structure of KCaRh2, with properties calculated at the PBEsol level.

Geometry as CIF:
```
data_KCaRh2
_cell_length_a 6.811
_cell_length_b 6.811
_cell_length_c 6.811
_cell_angle_alpha 90.00
_cell_angle_beta 90.00
_cell_angle_gamma 90.00
_symmetry_space_group_name_H-M 'F m -3 m'
_symmetry_Int_Tables_number 225
_symmetry_space_group_name_Hall '-F 4 2 3'
loop_
_atom_site_label
_atom_site_type_symbol
_atom_site_fract_x
_atom_site_fract_y
_atom_site_fract_z
K1 K 0.000 0.000 0.000
Ca1 Ca 0.000 0.000 0.500
Rh1 Rh 0.250 0.250 0.250
```


Version ii
Below is an optimized crystal structure of KCaRh2, with properties calculated at the PBEsol level.

Geometry as CIF:
```
data_KCaRh2
_cell_length_a 3.0219
_cell_length_b 3.0219
_cell_length_c 28.8265
_cell_angle_alpha 90.00
_cell_angle_beta 90.00
_cell_angle_gamma 120.00
_symmetry_space_group_name_H-M 'R -3 m'
_symmetry_Int_Tables_number 166
_symmetry_space_group_name_Hall '-R 3 2"'
loop_
_atom_site_label
_atom_site_type_symbol
_atom_site_fract_x
_atom_site_fract_y
_atom_site_fract_z
K1 K 0.0000 0.0000 0.0000
Ca1 Ca 0.0000 0.0000 0.5000
Rh1 Rh 0.0000 0.0000 0.2428
```


Most stable = version ii


Version i
Below is an optimized crystal structure of Zn2CoOs, with properties calculated at the PBEsol level.

Geometry as CIF:
```
data_Zn2CoOs
_cell_length_a 2.739
_cell_length_b 4.464
_cell_length_c 8.582
_cell_angle_alpha 90.00
_cell_angle_beta 90.00
_cell_angle_gamma 90.00
_symmetry_space_group_name_H-M 'C m m 2'
_symmetry_Int_Tables_number 35
loop_
_symmetry_equiv_pos_as_xyz
'x,y,z'
'-x,-y,z'
'-x,y,z'
'x,-y,z'
'x+1/2,y+1/2,z'
'-x+1/2,-y+1/2,z'
'-x+1/2,y+1/2,z'
'x+1/2,-y+1/2,z'
loop_
_atom_site_label
_atom_site_type_symbol
_atom_site_fract_x
_atom_site_fract_y
_atom_site_fract_z
Zn1 Zn 0.000 0.000 0.000
Zn2 Zn 0.000 0.500 0.261
Co1 Co 0.000 0.000 0.498
Os1 Os 0.000 0.500 0.736
```


Version ii
Below is an optimized crystal structure of Zn2CoOs, with properties calculated at the PBEsol level.

Geometry as CIF:
```
data_Zn2CoOs
_cell_length_a 4.519
_cell_length_b 2.602
_cell_length_c 4.583
_cell_angle_alpha 90.00
_cell_angle_beta 110.50
_cell_angle_gamma 90.00
_symmetry_space_group_name_H-M 'P 1 2/m 1'
_symmetry_Int_Tables_number 10
loop_
_symmetry_equiv_pos_as_xyz
'x,y,z'
'-x,-y,-z'
'-x,y,-z'
'x,-y,z'
loop_
_atom_site_label
_atom_site_type_symbol
_atom_site_fract_x
_atom_site_fract_y
_atom_site_fract_z
Zn1 Zn 0.000 0.000 0.000
Zn2 Zn 0.000 0.500 0.500
Co1 Co 0.500 0.000 0.500
Os1 Os 0.500 0.500 0.000
```


Most stable = version ii


Version i
Below is an optimized crystal structure of TaHg2Rh, with properties calculated at the PBEsol level.

Geometry as CIF:
```
data_TaHg2Rh
_cell_length_a 2.894
_cell_length_b 4.977
_cell_length_c 9.862
_cell_angle_alpha 90.00
_cell_angle_beta 90.00
_cell_angle_gamma 90.00
_symmetry_space_group_name_H-M 'I m m m'
_symmetry_Int_Tables_number 71
_symmetry_space_group_name_Hall '-I 2 2'
loop_
_atom_site_label
_atom_site_type_symbol
_atom_site_fract_x
_atom_site_fract_y
_atom_site_fract_z
Ta1 Ta 0.000 0.000 0.000
Hg1 Hg 0.000 0.500 0.240
Rh1 Rh 0.000 0.000 0.500
```


Version ii
Below is an optimized crystal structure of TaHg2Rh, with properties calculated at the PBEsol level.

Geometry as CIF:
```
data_TaHg2Rh
_cell_length_a 2.861
_cell_length_b 4.659
_cell_length_c 5.379
_cell_angle_alpha 90.00
_cell_angle_beta 101.78
_cell_angle_gamma 90.00
_symmetry_space_group_name_H-M 'P 1 2/m 1'
_symmetry_Int_Tables_number 10
loop_
_symmetry_equiv_pos_as_xyz
'x,y,z'
'-x,-y,-z'
'-x,y,-z'
'x,-y,z'
loop_
_atom_site_label
_atom_site_type_symbol
_atom_site_fract_x
_atom_site_fract_y
_atom_site_fract_z
Ta1 Ta 0.000 0.000 0.000
Hg1 Hg 0.331 0.500 0.742
Rh1 Rh 0.500 0.000 0.500
```


Most stable = version i


Version i
Below is an optimized crystal structure of Zr2ScCu, with properties calculated at the PBEsol level.

Geometry as CIF:
```
data_Zr2ScCu
_cell_length_a 3.159
_cell_length_b 3.159
_cell_length_c 7.819
_cell_angle_alpha 90.00
_cell_angle_beta 90.00
_cell_angle_gamma 90.00
_symmetry_space_group_name_H-M 'P 4 m m'
_symmetry_Int_Tables_number 99
loop_
_symmetry_equiv_pos_as_xyz
'x,y,z'
'-y,x,z'
'-x,-y,z'
'y,-x,z'
'-x,y,z'
'y,x,z'
'x,-y,z'
'-y,-x,z'
loop_
_atom_site_label
_atom_site_type_symbol
_atom_site_fract_x
_atom_site_fract_y
_atom_site_fract_z
Zr1 Zr 0.000 0.000 0.000
Zr2 Zr 0.500 0.500 0.279
Sc1 Sc 0.500 0.500 0.711
Cu1 Cu 0.000 0.000 0.498
```


Version ii
Below is an optimized crystal structure of Zr2ScCu, with properties calculated at the PBEsol level.

Geometry as CIF:
```
data_Zr2ScCu
_cell_length_a 6.720
_cell_length_b 6.720
_cell_length_c 6.720
_cell_angle_alpha 90.00
_cell_angle_beta 90.00
_cell_angle_gamma 90.00
_symmetry_space_group_name_H-M 'F m -3 m'
_symmetry_Int_Tables_number 225
_symmetry_space_group_name_Hall '-F 4 2 3'
loop_
_atom_site_label
_atom_site_type_symbol
_atom_site_fract_x
_atom_site_fract_y
_atom_site_fract_z
Zr1 Zr 0.250 0.250 0.250
Sc1 Sc 0.000 0.000 0.000
Cu1 Cu 0.000 0.000 0.500
```


Most stable = version i


Version i
Below is an optimized crystal structure of ReNi2Pt, with properties calculated at the PBEsol level.

Geometry as CIF:
```
data_ReNi2Pt
_cell_length_a 3.620
_cell_length_b 3.620
_cell_length_c 7.627
_cell_angle_alpha 90.00
_cell_angle_beta 90.00
_cell_angle_gamma 90.00
_symmetry_space_group_name_H-M 'I -4 m 2'
_symmetry_Int_Tables_number 119
_symmetry_space_group_name_Hall 'I -4 -2'
loop_
_atom_site_label
_atom_site_type_symbol
_atom_site_fract_x
_atom_site_fract_y
_atom_site_fract_z
Re1 Re 0.000 0.000 0.000
Ni1 Ni 0.000 0.000 0.500
Ni2 Ni 0.000 0.500 0.750
Pt1 Pt 0.000 0.500 0.250
```


Version ii
Below is an optimized crystal structure of ReNi2Pt, with properties calculated at the PBEsol level.

Geometry as CIF:
```
data_ReNi2Pt
_cell_length_a 2.655
_cell_length_b 3.739
_cell_length_c 5.095
_cell_angle_alpha 90.00
_cell_angle_beta 90.00
_cell_angle_gamma 90.00
_symmetry_space_group_name_H-M 'P m m 2'
_symmetry_Int_Tables_number 25
loop_
_symmetry_equiv_pos_as_xyz
'x,y,z'
'-x,-y,z'
'-x,y,z'
'x,-y,z'
loop_
_atom_site_label
_atom_site_type_symbol
_atom_site_fract_x
_atom_site_fract_y
_atom_site_fract_z
Re1 Re 0.000 0.000 0.000
Ni1 Ni 0.000 0.000 0.473
Ni2 Ni 0.500 0.500 0.238
Pt1 Pt 0.500 0.500 0.735
```


Most stable = version i